No. 1
Compound: TlP2Pb
Source: Alexandria via LeMat-Bulk
Functional: PBE-GGA
Structure: relaxed

It has space group Fm-3m (No. 225), with a = 7.1806 Å, b = 7.1806 Å, c = 7.1806 Å, α = 90.00°, β = 90.00° and γ = 90.00°. The asymmetric unit holds Tl at (0.0000, 0.0000, 0.0000), P at (0.2500, 0.2500, 0.2500) and Pb at (0.0000, 0.0000, 0.5000).

As for the relative energy among the computed polymorphs: 423 meV per atom.

---

No. 2
Compound: Tl2PPb
Source: Alexandria via LeMat-Bulk
Functional: PBE-GGA
Structure: relaxed

It has space group R-3m (No. 166, hexagonal axes), with a = 4.0078 Å, b = 4.0078 Å, c = 24.4472 Å, α = 90.00°, β = 90.00° and γ = 120.00°. The asymmetric unit holds Tl at (0.0000, 0.0000, 0.2317), P at (0.0000, 0.0000, 0.5000) and Pb at (0.0000, 0.0000, 0.0000).

As for the relative energy among the computed polymorphs: 107 meV per atom.

---

No. 3
Compound: TlP2Pb2
Source: Alexandria via LeMat-Bulk
Functional: PBE-GGA
Structure: relaxed

It has space group P4/mbm (No. 127), with a = 8.2551 Å, b = 8.2551 Å, c = 3.8424 Å, α = 90.00°, β = 90.00° and γ = 90.00°. The asymmetric unit holds Tl at (0.0000, 0.0000, 0.0000), P at (0.0951, 0.4049, 0.0000) and Pb at (0.1793, 0.6793, 0.5000).

As for the relative energy among the computed polymorphs: 15 meV per atom.

---

No. 4
Compound: TlPPb2
Source: Alexandria via LeMat-Bulk
Functional: PBE-GGA
Structure: relaxed

It has space group Cm (No. 8), with a = 11.6447 Å, b = 3.9086 Å, c = 5.8762 Å, α = 90.00°, β = 119.51° and γ = 90.00°. The asymmetric unit holds Tl at (0.0000, 0.0000, 0.0000), P at (0.2859, 0.0000, 0.6111), Pb at (0.1041, 0.5000, 0.6052) and Pb at (0.2999, 0.5000, 0.2732).

As for the relative energy among the computed polymorphs: 21 meV per atom.

---

No. 5
Compound: TlPPb2
Source: Alexandria via LeMat-Bulk
Functional: PBE-GGA
Structure: relaxed

It has space group Fm-3m (No. 225), with a = 7.5801 Å, b = 7.5801 Å, c = 7.5801 Å, α = 90.00°, β = 90.00° and γ = 90.00°. The asymmetric unit holds Tl at (0.0000, 0.0000, 0.0000), P at (0.0000, 0.0000, 0.5000) and Pb at (0.2500, 0.2500, 0.2500).

As for the relative energy among the computed polymorphs: 205 meV per atom.

---

No. 6
Compound: TlPPb2
Source: Alexandria via LeMat-Bulk
Functional: PBE-GGA
Structure: relaxed

It has space group P4mm (No. 99), with a = 4.0349 Å, b = 4.0349 Å, c = 7.2768 Å, α = 90.00°, β = 90.00° and γ = 90.00°. The asymmetric unit holds Tl at (0.0000, 0.0000, 0.0000), P at (0.5000, 0.5000, 0.3348), Pb at (0.0000, 0.0000, 0.4461) and Pb at (0.5000, 0.5000, 0.7200).

As for the relative energy among the computed polymorphs: 93 meV per atom.

---

No. 7
Compound: TlP2Pb2
Source: Alexandria via LeMat-Bulk
Functional: PBE-GGA
Structure: relaxed

It has space group I4/mmm (No. 139), with a = 4.4500 Å, b = 4.4500 Å, c = 14.6334 Å, α = 90.00°, β = 90.00° and γ = 90.00°. The asymmetric unit holds Tl at (0.0000, 0.0000, 0.0000), P at (0.0000, 0.5000, 0.2500) and Pb at (0.0000, 0.0000, 0.3707).

As for the relative energy among the computed polymorphs: 180 meV per atom.

---

No. 8
Compound: TlP4Pb
Source: Alexandria via LeMat-Bulk
Functional: PBE-GGA
Structure: relaxed

It has space group F-43m (No. 216), with a = 8.3648 Å, b = 8.3648 Å, c = 8.3648 Å, α = 90.00°, β = 90.00° and γ = 90.00°. The asymmetric unit holds Tl at (0.0000, 0.0000, 0.0000), P at (0.1540, 0.1540, 0.6540) and Pb at (0.2500, 0.2500, 0.2500).

---

No. 9
Compound: TlP2Pb
Source: Alexandria via LeMat-Bulk
Functional: PBE-GGA
Structure: relaxed

It has space group R3m (No. 160, hexagonal axes), with a = 3.4314 Å, b = 3.4314 Å, c = 28.9783 Å, α = 90.00°, β = 90.00° and γ = 120.00°. The asymmetric unit holds Tl at (0.0000, 0.0000, 0.0000), P at (0.0000, 0.0000, 0.4719), P at (0.0000, 0.0000, 0.7649) and Pb at (0.0000, 0.0000, 0.2317).

As for the relative energy among the computed polymorphs: 0 meV per atom.

---

No. 10
Compound: TlP2Pb
Source: Alexandria via LeMat-Bulk
Functional: PBE-GGA
Structure: relaxed

It has space group I-42d (No. 122), with a = 6.2603 Å, b = 6.2603 Å, c = 12.6177 Å, α = 90.00°, β = 90.00° and γ = 90.00°. The asymmetric unit holds Tl at (0.0000, 0.0000, 0.0000), P at (0.2406, 0.2500, 0.1250) and Pb at (0.0000, 0.0000, 0.5000).

As for the relative energy among the computed polymorphs: 197 meV per atom.

---

No. 11
Compound: TlP2Pb
Source: Alexandria via LeMat-Bulk
Functional: PBE-GGA
Structure: relaxed

It has space group Imm2 (No. 44), with a = 3.3268 Å, b = 5.4389 Å, c = 11.8133 Å, α = 90.00°, β = 90.00° and γ = 90.00°. The asymmetric unit holds Tl at (0.0000, 0.0000, 0.0000), P at (0.0000, 0.0000, 0.3687), P at (0.0000, 0.5000, 0.7419) and Pb at (0.0000, 0.5000, 0.2359).

As for the relative energy among the computed polymorphs: 59 meV per atom.

---

No. 12
Compound: Tl2P2Pb
Source: Alexandria via LeMat-Bulk
Functional: PBE-GGA
Structure: relaxed

It has space group P4/mbm (No. 127), with a = 8.0555 Å, b = 8.0555 Å, c = 3.8012 Å, α = 90.00°, β = 90.00° and γ = 90.00°. The asymmetric unit holds Tl at (0.1466, 0.3534, 0.0000), P at (0.1574, 0.6574, 0.5000) and Pb at (0.0000, 0.0000, 0.5000).

As for the relative energy among the computed polymorphs: 161 meV per atom.

---

No. 13
Compound: TlPPb2
Source: Alexandria via LeMat-Bulk
Functional: PBE-GGA
Structure: relaxed

It has space group I4/mmm (No. 139), with a = 4.8896 Å, b = 4.8896 Å, c = 9.1459 Å, α = 90.00°, β = 90.00° and γ = 90.00°. The asymmetric unit holds Tl at (0.0000, 0.0000, 0.0000), P at (0.0000, 0.0000, 0.5000) and Pb at (0.0000, 0.5000, 0.2500).

As for the relative energy among the computed polymorphs: 175 meV per atom.

---

No. 14
Compound: TlPPb2
Source: Alexandria via LeMat-Bulk
Functional: PBE-GGA
Structure: relaxed

It has space group R3m (No. 160, hexagonal axes), with a = 3.9218 Å, b = 3.9218 Å, c = 26.6677 Å, α = 90.00°, β = 90.00° and γ = 120.00°. The asymmetric unit holds Tl at (0.0000, 0.0000, 0.0000), P at (0.0000, 0.0000, 0.8327), Pb at (0.0000, 0.0000, 0.2305) and Pb at (0.0000, 0.0000, 0.4342).

As for the relative energy among the computed polymorphs: 0 meV per atom.

---

No. 15
Compound: Tl2PPb
Source: Alexandria via LeMat-Bulk
Functional: PBE-GGA
Structure: relaxed

It has space group R3m (No. 160, hexagonal axes), with a = 4.0221 Å, b = 4.0221 Å, c = 25.5014 Å, α = 90.00°, β = 90.00° and γ = 120.00°. The asymmetric unit holds Tl at (0.0000, 0.0000, 0.0000), Tl at (0.0000, 0.0000, 0.2344), P at (0.0000, 0.0000, 0.7378) and Pb at (0.0000, 0.0000, 0.4643).

As for the relative energy among the computed polymorphs: 0 meV per atom.

---

Number 1: formation energy 0.5054 eV/atom, E_tot -3.718 eV per atom, magnetization 0.00 μB/f.u.. Number 2: formation energy 0.1907 eV/atom, E_tot -3.272 eV per atom, magnetization 0.00 μB/f.u.. Number 3: formation energy 0.1606 eV/atom, E_tot -3.960 eV per atom, magnetization 0.00 μB/f.u.. Number 4: formation energy 0.0979 eV/atom, E_tot -3.700 eV per atom, magnetization 0.00 μB/f.u.. Number 5: formation energy 0.2814 eV/atom, E_tot -3.517 eV per atom, magnetization 0.00 μB/f.u.. Number 6: formation energy 0.1699 eV/atom, E_tot -3.628 eV per atom, magnetization 0.00 μB/f.u.. Number 7: formation energy 0.3262 eV/atom, E_tot -3.794 eV per atom, magnetization 0.00 μB/f.u.. Number 8: formation energy 0.3662 eV/atom, E_tot -4.253 eV per atom, magnetization 0.00 μB/f.u.. Number 9: formation energy 0.0828 eV/atom, E_tot -4.141 eV per atom, magnetization 0.00 μB/f.u.. Number 10: formation energy 0.2797 eV/atom, E_tot -3.944 eV per atom, magnetization 0.00 μB/f.u.. Number 11: formation energy 0.1422 eV/atom, E_tot -4.081 eV per atom, magnetization 0.00 μB/f.u.. Number 12: formation energy 0.3255 eV/atom, E_tot -3.527 eV per atom, magnetization 0.00 μB/f.u.. Number 13: formation energy 0.2517 eV/atom, E_tot -3.547 eV per atom, magnetization 0.00 μB/f.u.. Number 14: formation energy 0.0765 eV/atom, E_tot -3.722 eV per atom, magnetization 0.00 μB/f.u.. Number 15: formation energy 0.0841 eV/atom, E_tot -3.379 eV per atom, magnetization 0.00 μB/f.u..